[1]
DFT (PBE) results for crystalline ErHfPa2P4 at its relaxed geometry.

```
ErHfPa2P4
1.0
3.911 0.000 0.000
0.000 6.757 0.112
0.000 -2.365 6.274
Er Hf Pa P
1 1 2 4
Direct
0.500 0.500 0.000
0.000 0.000 0.000
0.500 0.000 0.500
0.000 0.500 0.500
0.500 0.240 0.238
0.500 0.760 0.762
0.000 0.245 0.758
0.000 0.755 0.242
```

Output
The energy of formation is -1.37 eV per atom.

[2]
DFT (PBE) results for crystalline Er2HfPaP4 at its relaxed geometry.

```
Er2HfPaP4
1.0
3.894 0.000 0.000
0.000 6.716 0.119
0.000 -2.345 6.343
Er Hf Pa P
2 1 1 4
Direct
0.500 0.000 0.500
0.000 0.500 0.500
0.000 0.000 0.000
0.500 0.500 0.000
0.500 0.239 0.238
0.500 0.761 0.762
0.000 0.243 0.755
0.000 0.757 0.245
```

Output
The energy of formation is -1.44 eV per atom.

[3]
DFT (PBE) results for crystalline PmEr2HfP4 at its relaxed geometry.

```
PmEr2HfP4
1.0
3.928 0.000 0.000
0.000 6.818 0.135
0.000 -2.367 6.374
Pm Er Hf P
1 2 1 4
Direct
0.500 0.500 0.000
0.500 0.000 0.500
0.000 0.500 0.500
0.000 0.000 0.000
0.500 0.234 0.241
0.500 0.766 0.759
0.000 0.236 0.750
0.000 0.764 0.250
```

Output
The energy of formation is -1.50 eV per atom.

[4]
DFT (PBE) results for crystalline ErPuHf2P4 at its relaxed geometry.

```
ErPuHf2P4
1.0
3.821 0.000 0.000
0.000 6.602 0.114
0.000 -2.311 6.253
Er Pu Hf P
1 1 2 4
Direct
0.500 0.500 0.000
0.000 0.000 0.000
0.500 0.000 0.500
0.000 0.500 0.500
0.500 0.255 0.266
0.500 0.745 0.734
0.000 0.245 0.734
0.000 0.755 0.266
```

Output
The energy of formation is -1.37 eV per atom.

[5]
DFT (PBE) results for crystalline Er3HfP2Rh9 at its relaxed geometry.

```
Er3HfP2Rh9
1.0
-1.938 -1.393 5.497
2.298 -4.258 -3.535
8.336 1.701 3.370
Er Hf P Rh
3 1 2 9
Direct
0.333 0.667 0.690
0.000 0.000 0.000
0.667 0.333 0.310
0.000 0.000 0.500
0.333 0.667 0.157
0.667 0.333 0.843
0.846 0.154 0.719
0.846 0.692 0.719
0.308 0.154 0.719
0.692 0.846 0.281
0.154 0.308 0.281
0.154 0.846 0.281
0.500 0.000 0.000
0.000 0.500 0.000
0.500 0.500 0.000
```

Output
The energy of formation is -0.62 eV per atom.

[6]
DFT (PBE) results for crystalline ErHfP2Rh5 at its relaxed geometry.

```
ErHfP2Rh5
1.0
-0.940 -3.814 -0.818
3.170 -0.256 -2.447
5.852 -3.138 7.909
Er Hf P Rh
1 1 2 5
Direct
0.000 0.000 0.500
0.000 0.000 0.000
0.500 0.500 0.281
0.500 0.500 0.719
0.000 0.500 0.179
0.500 0.000 0.179
0.000 0.500 0.821
0.500 0.000 0.821
0.500 0.500 0.500
```

Output
The energy of formation is -0.77 eV per atom.

[7]
DFT (PBE) results for crystalline ErHfSc2P4 at its relaxed geometry.

```
ErHfSc2P4
1.0
-1.737 0.124 3.367
3.902 -4.812 2.190
2.797 5.784 1.230
Er Hf Sc P
1 1 2 4
Direct
0.500 0.500 0.000
0.000 0.000 0.000
0.500 0.000 0.500
0.000 0.500 0.500
0.500 0.243 0.252
0.500 0.757 0.748
0.000 0.239 0.743
0.000 0.761 0.257
```

Output
The energy of formation is -1.48 eV per atom.

[8]
DFT (PBE) results for crystalline SmEr2HfP4 at its relaxed geometry.

```
SmEr2HfP4
1.0
-2.384 -0.624 -3.050
4.674 -4.064 -2.822
-4.090 -3.705 3.956
Sm Er Hf P
1 2 1 4
Direct
0.500 0.500 0.000
0.500 0.000 0.500
0.000 0.500 0.500
0.000 0.000 0.000
0.500 0.235 0.241
0.500 0.765 0.759
0.000 0.237 0.751
0.000 0.763 0.249
```

Output
The energy of formation is -1.50 eV per atom.

[9]
DFT (PBE) results for crystalline Tb2ErHfP4 at its relaxed geometry.

```
Tb2ErHfP4
1.0
-2.200 -3.236 0.060
3.916 -2.571 4.910
-5.091 3.514 2.805
Tb Er Hf P
2 1 1 4
Direct
0.500 0.000 0.500
0.000 0.500 0.500
0.500 0.500 0.000
0.000 0.000 0.000
0.500 0.237 0.234
0.500 0.763 0.766
0.000 0.245 0.760
0.000 0.755 0.240
```

Output
The energy of formation is -1.54 eV per atom.

[10]
DFT (PBE) results for crystalline Er2HfThP4 at its relaxed geometry.

```
Er2HfThP4
1.0
-3.850 -0.854 0.159
0.483 -0.918 6.757
-1.503 6.538 -1.300
Er Hf Th P
2 1 1 4
Direct
0.500 0.000 0.500
0.000 0.500 0.500
0.000 0.000 0.000
0.500 0.500 0.000
0.500 0.234 0.242
0.500 0.766 0.758
0.000 0.235 0.748
0.000 0.765 0.252
```

Output
The energy of formation is -1.47 eV per atom.

[11]
DFT (PBE) results for crystalline ErHfTh2P4 at its relaxed geometry.

```
ErHfTh2P4
1.0
-2.481 2.771 1.433
-4.514 -1.439 -5.035
-1.305 -3.985 5.447
Er Hf Th P
1 1 2 4
Direct
0.500 0.500 0.000
0.000 0.000 0.000
0.500 0.000 0.500
0.000 0.500 0.500
0.500 0.235 0.227
0.500 0.765 0.773
0.000 0.249 0.768
0.000 0.751 0.232
```

Output
The energy of formation is -1.47 eV per atom.

[12]
DFT (PBE) results for crystalline ErTmHf2P4 at its relaxed geometry.

```
ErTmHf2P4
1.0
-0.295 0.272 -3.779
4.536 -4.721 -0.694
-6.049 -2.779 0.273
Er Tm Hf P
1 1 2 4
Direct
0.500 0.500 0.000
0.000 0.000 0.000
0.500 0.000 0.500
0.000 0.500 0.500
0.500 0.254 0.264
0.500 0.746 0.736
0.000 0.244 0.735
0.000 0.756 0.265
```

Output
The energy of formation is -1.45 eV per atom.

| no. | theoretical density (Mg/m³) | E_tot (eV for the cell shown) | calculated volume (Å³/atom) |
| --- | --- | --- | --- |
| 1 | 9.27 | -66.10 | 20.86 |
| 2 | 8.63 | -61.74 | 20.88 |
| 3 | 7.55 | -57.45 | 21.49 |
| 4 | 9.33 | -71.43 | 19.84 |
| 5 | 9.74 | -110.00 | 18.97 |
| 6 | 9.21 | -69.05 | 18.48 |
| 7 | 6.04 | -60.66 | 19.22 |
| 8 | 7.64 | -57.47 | 21.39 |
| 9 | 7.68 | -57.71 | 21.28 |
| 10 | 8.30 | -59.89 | 21.74 |
| 11 | 8.68 | -62.74 | 22.33 |
| 12 | 8.62 | -62.15 | 19.66 |